1.
Entry from the Alexandria database: a relaxed Gd2InC crystal (PBE-GGA).

Results
**Raw total energy**: -10.39 eV/atom
**Mass density**: 7.8 g/cm3
**Energy relative to the elements**: -358.2 meV per atom
**Magnetization**: 14.905 μB per formula unit
**Density of states at the Fermi level**: 0.48 states/eV per atom

Geometry as CIF:
```
data_Gd2InC
_chemical_formula_sum 'Gd6 In3 C3'
_symmetry_space_group_name_H-M 'R -3 m'
_symmetry_Int_Tables_number 166
_symmetry_space_group_name_Hall '-R 3 2"'
_cell_length_a 3.6234
_cell_length_b 3.6234
_cell_length_c 24.8921
_cell_angle_alpha 90.00
_cell_angle_beta 90.00
_cell_angle_gamma 120.00
loop_
_atom_site_label
_atom_site_type_symbol
_atom_site_fract_x
_atom_site_fract_y
_atom_site_fract_z
Gd1 Gd 0.0000 0.0000 0.2218
In1 In 0.0000 0.0000 0.0000
C1 C 0.0000 0.0000 0.5000
```



2.
Entry from the Alexandria database: a relaxed Sc2In2Ir crystal (PBE-GGA).

Results
**Raw total energy**: -5.33 eV/atom
**Mass density**: 7.4 g/cm3
**Distance to the lowest polymorph of the same formula**: 3.03 eV per formula unit
**Energy relative to the elements**: 73.3 meV per atom
**Magnetization**: 0.000 μB per formula unit
**Density of states at the Fermi level**: 0.95 states/eV per atom

Geometry as CIF:
```
data_Sc2In2Ir
_chemical_formula_sum 'Sc4 In4 Ir2'
_symmetry_space_group_name_H-M 'I 4/m m m'
_symmetry_Int_Tables_number 139
_symmetry_space_group_name_Hall '-I 4 2'
_cell_length_a 3.787
_cell_length_b 3.787
_cell_length_c 16.013
_cell_angle_alpha 90.00
_cell_angle_beta 90.00
_cell_angle_gamma 90.00
loop_
_atom_site_label
_atom_site_type_symbol
_atom_site_fract_x
_atom_site_fract_y
_atom_site_fract_z
Sc1 Sc 0.000 0.000 0.088
In1 In 0.000 0.500 0.250
Ir1 Ir 0.000 0.000 0.500
```



3.
Entry from the Alexandria database: a relaxed K3Tl4Hg2Sb2 crystal (PBE-GGA).

Results
**Raw total energy**: -2.16 eV/atom
**Mass density**: 7.0 g/cm3
**Energy relative to the elements, uncorrected**: -0.19 eV/atom
**Magnetization**: 0.000 μB per formula unit
**Density of states at the Fermi level**: 0.20 states/eV per atom

Geometry as CIF:
```
data_K3Tl4Hg2Sb2
_chemical_formula_sum 'K3 Tl4 Hg2 Sb2'
_symmetry_space_group_name_H-M 'P -3 m 1'
_symmetry_Int_Tables_number 164
_symmetry_space_group_name_Hall '-P 3 2"'
_cell_length_a 5.7143
_cell_length_b 5.7143
_cell_length_c 13.2159
_cell_angle_alpha 90.00
_cell_angle_beta 90.00
_cell_angle_gamma 120.00
loop_
_atom_site_label
_atom_site_type_symbol
_atom_site_fract_x
_atom_site_fract_y
_atom_site_fract_z
K1 K 0.0000 0.0000 0.0000
K2 K 0.0000 0.0000 0.2776
Tl1 Tl 0.3333 0.6667 0.3873
Tl2 Tl 0.3333 0.6667 0.8828
Hg1 Hg 0.3333 0.6667 0.6187
Sb1 Sb 0.3333 0.6667 0.1426
```



4.
Entry from the Alexandria database: a relaxed CdHPd crystal (PBE-GGA).

Results
**Raw total energy**: -3.25 eV/atom
**Mass density**: 8.7 g/cm3
**Magnetization**: 0.000 μB per formula unit
**Density of states at the Fermi level**: 0.19 states/eV per atom

Geometry as CIF:
```
data_CdHPd
_chemical_formula_sum 'Cd8 H8 Pd8'
_symmetry_space_group_name_H-M 'C 1 2/m 1'
_symmetry_Int_Tables_number 12
_symmetry_space_group_name_Hall '-C 2y'
_cell_length_a 18.243
_cell_length_b 3.043
_cell_length_c 6.043
_cell_angle_alpha 90.00
_cell_angle_beta 95.74
_cell_angle_gamma 90.00
loop_
_atom_site_label
_atom_site_type_symbol
_atom_site_fract_x
_atom_site_fract_y
_atom_site_fract_z
Cd1 Cd 0.060 0.000 0.320
Cd2 Cd 0.083 0.500 0.825
H1 H 0.247 0.000 0.374
H2 H 0.248 0.500 0.123
Pd1 Pd 0.189 0.000 0.104
Pd2 Pd 0.191 0.000 0.611
```



5.
Entry from the Alexandria database: a relaxed CsThS2F crystal (PBE-GGA).

Results
**Raw total energy**: -6.06 eV/atom
**Mass density**: 4.6 g/cm3
**Energy relative to the elements, uncorrected**: -2.38 eV/atom
**Magnetization**: 0.000 μB per formula unit
**Density of states at the Fermi level**: 0.00 states/eV per atom

Geometry as CIF:
```
data_CsThS2F
_chemical_formula_sum 'Cs2 Th2 S4 F2'
_symmetry_space_group_name_H-M 'P 1 21/m 1'
_symmetry_Int_Tables_number 11
_symmetry_space_group_name_Hall '-P 2yb'
_cell_length_a 8.485
_cell_length_b 4.231
_cell_length_c 9.478
_cell_angle_alpha 90.00
_cell_angle_beta 107.59
_cell_angle_gamma 90.00
loop_
_atom_site_label
_atom_site_type_symbol
_atom_site_fract_x
_atom_site_fract_y
_atom_site_fract_z
Cs1 Cs 0.216 0.250 0.307
Th1 Th 0.320 0.250 0.825
S1 S 0.331 0.750 0.642
S2 S 0.334 0.750 0.032
F1 F 0.049 0.250 0.772
```



6.
Entry from the Alexandria database: a relaxed Ca2GeIr crystal (PBE-GGA).

Results
**Raw total energy**: -4.89 eV/atom
**Mass density**: 4.9 g/cm3
**Energy relative to the elements**: -518.6 meV per atom
**Magnetization**: 0.000 μB per formula unit
**Density of states at the Fermi level**: 0.80 states/eV per atom

Geometry as CIF:
```
data_Ca2GeIr
_chemical_formula_sum 'Ca4 Ge2 Ir2'
_symmetry_space_group_name_H-M 'C 1 m 1'
_symmetry_Int_Tables_number 8
_symmetry_space_group_name_Hall 'C -2y'
_cell_length_a 7.425
_cell_length_b 4.283
_cell_length_c 7.703
_cell_angle_alpha 90.00
_cell_angle_beta 108.64
_cell_angle_gamma 90.00
loop_
_atom_site_label
_atom_site_type_symbol
_atom_site_fract_x
_atom_site_fract_y
_atom_site_fract_z
Ca1 Ca 0.000 0.000 0.000
Ca2 Ca 0.167 0.000 0.505
Ge1 Ge 0.417 0.000 0.252
Ir1 Ir 0.250 0.500 0.253
```



7.
Entry from the Alexandria database: a relaxed Mo13W3 crystal (PBE-GGA).

Results
**Raw total energy**: -11.24 eV/atom
**Mass density**: 11.7 g/cm3
**Energy relative to the elements**: -8.4 meV per atom
**Magnetization**: 0.000 μB per formula unit
**Density of states at the Fermi level**: 0.79 states/eV per atom

Geometry as CIF:
```
data_Mo13W3
_chemical_formula_sum 'Mo26 W6'
_symmetry_space_group_name_H-M 'A m m 2'
_symmetry_Int_Tables_number 38
_symmetry_space_group_name_Hall 'A 2 -2'
_cell_length_a 6.340
_cell_length_b 8.966
_cell_length_c 8.968
_cell_angle_alpha 90.00
_cell_angle_beta 90.00
_cell_angle_gamma 90.00
loop_
_atom_site_label
_atom_site_type_symbol
_atom_site_fract_x
_atom_site_fract_y
_atom_site_fract_z
Mo1 Mo 0.000 0.000 0.000
Mo2 Mo 0.000 0.000 0.499
Mo3 Mo 0.000 0.250 0.250
Mo4 Mo 0.250 0.000 0.250
Mo5 Mo 0.250 0.250 0.000
Mo6 Mo 0.500 0.000 0.499
Mo7 Mo 0.500 0.250 0.250
W1 W 0.250 0.000 0.749
W2 W 0.500 0.000 0.000
```



8.
Entry from the Alexandria database: a relaxed InCuSi2B crystal (PBE-GGA).

Results
**Raw total energy**: -3.09 eV/atom
**Mass density**: 3.6 g/cm3
**Energy relative to the elements, uncorrected**: 1.78 eV/atom
**Magnetization**: 0.000 μB per formula unit
**Density of states at the Fermi level**: 0.43 states/eV per atom

Geometry as CIF:
```
data_InCuSi2B
_chemical_formula_sum 'In1 Cu1 Si2 B1'
_symmetry_space_group_name_H-M 'P 4/m m m'
_symmetry_Int_Tables_number 123
_symmetry_space_group_name_Hall '-P 4 2'
_cell_length_a 5.224
_cell_length_b 5.224
_cell_length_c 4.194
_cell_angle_alpha 90.00
_cell_angle_beta 90.00
_cell_angle_gamma 90.00
loop_
_atom_site_label
_atom_site_type_symbol
_atom_site_fract_x
_atom_site_fract_y
_atom_site_fract_z
In1 In 0.000 0.000 0.000
Cu1 Cu 0.500 0.500 0.500
Si1 Si 0.000 0.500 0.000
B1 B 0.000 0.000 0.500
```